Density functional theory data (PBE-GGA) for an optimized crystal structure of TlCdTeMo.

a b c (Å): 3.352 3.352 10.498
angles (deg): 90.00 90.00 120.00
Sites, in units of the cell vectors:
Tl: 0.000 0.000 0.000
Cd: 0.333 0.667 0.731
Te: 0.000 0.000 0.345
Mo: 0.667 0.333 0.520

Summary:
Total moment in μB per formula unit: 0.001
Formation energy without anion corrections in kJ/mol of atoms: 16
Energy above the most stable polymorph in this dataset in meV per atom: 15
Density in Mg/m³: 8.78
Energy in eV per atom: -4.145